No. 1
A relaxed structure of Ac, computed with GGA-PBEsol.

```
Ac
1.0
3.9252 0.0000 0.0000
-1.9626 3.3993 0.0000
0.0000 0.0000 6.3628
Ac
2
direct
0.3333 0.6667 0.2500
0.6667 0.3333 0.7500
```

E_form = 24 meV/atom

No. 2
A relaxed structure of MnSb, computed with GGA-PBEsol.

```
MnSb
1.0
-2.8200 0.8113 -2.5119
-1.1262 -2.6598 -2.5647
-3.4540 -1.6910 0.3616
Sb Mn
1 1
direct
0.5000 0.5000 0.5000
0.0000 0.0000 0.0000
```

formation energy from raw total energies = 24.1 kJ/mol of atoms

No. 3
A relaxed structure of ZrGeO2, computed with GGA-PBEsol.

```
ZrGeO2
1.0
-1.8379 -0.4590 -2.7237
-2.6261 -2.0254 0.0927
-5.2842 4.1726 0.8419
O Ge Zr
2 1 1
direct
0.1024 0.1024 0.6929
0.8976 0.8976 0.3071
0.5000 0.5000 0.5000
0.0000 0.0000 0.0000
```

formation energy from raw total energies = -122.2 kJ/mol of atoms

No. 4
A relaxed structure of BaSb12Os4, computed with GGA-PBEsol.

```
BaSb12Os4
1.0
8.0900 0.0000 0.0000
-2.6967 7.6273 0.0000
-2.6967 -3.8137 6.6055
Os Sb Ba
4 12 1
direct
0.5000 0.5000 0.5000
0.0000 0.5000 0.0000
0.0000 0.0000 0.5000
0.5000 0.0000 0.0000
0.1592 0.6570 0.8161
0.4978 0.8408 0.6570
0.8161 0.1592 0.6570
0.8408 0.6570 0.4978
0.1839 0.8408 0.3430
0.6570 0.4978 0.8408
0.6570 0.8161 0.1592
0.3430 0.1839 0.8408
0.3430 0.5022 0.1592
0.1592 0.3430 0.5022
0.8408 0.3430 0.1839
0.5022 0.1592 0.3430
0.0000 0.0000 0.0000
```

formation energy from raw total energies = -19.0 kJ/mol of atoms

No. 5
A relaxed structure of Ba3SiB, computed with GGA-PBEsol.

```
Ba3SiB
1.0
-5.1456 1.6879 -1.3973
-2.0880 -2.6951 4.4335
0.6647 4.6007 3.1098
Ba B Si
3 1 1
direct
0.0000 0.0000 0.5000
0.0000 0.5000 0.0000
0.5000 0.0000 0.0000
0.0000 0.0000 0.0000
0.5000 0.5000 0.5000
```

formation energy from raw total energies = 42.6 kJ/mol of atoms

No. 6
A relaxed structure of Ta3Bi2S6, computed with GGA-PBEsol.

```
Ta3Bi2S6
1.0
5.6787 0.0000 0.0000
-2.8394 4.9179 0.0000
0.0000 0.0000 17.3403
S Ta Bi
12 6 4
direct
0.0000 0.0000 0.6577
0.3333 0.6667 0.8387
0.0000 0.0000 0.8423
0.0000 0.0000 0.1577
0.6667 0.3333 0.8387
0.6667 0.3333 0.3387
0.6667 0.3333 0.6613
0.3333 0.6667 0.1613
0.3333 0.6667 0.6613
0.0000 0.0000 0.3423
0.6667 0.3333 0.1613
0.3333 0.6667 0.3387
0.3266 0.3266 0.7500
0.3266 0.0000 0.2500
0.6734 0.0000 0.7500
0.0000 0.6734 0.7500
0.6734 0.6734 0.2500
0.0000 0.3266 0.2500
0.3333 0.6667 0.0000
0.6667 0.3333 0.5000
0.6667 0.3333 0.0000
0.3333 0.6667 0.5000
```

formation energy from raw total energies = -93.0 kJ/mol of atoms

No. 7
A relaxed structure of KCuH3, computed with GGA-PBEsol.

```
KCuH3
1.0
-2.1089 2.5551 -1.5415
-2.6996 -2.4380 -0.3479
-1.2717 0.9380 3.2947
H K Cu
3 1 1
direct
0.0000 0.0000 0.5000
0.5000 0.0000 0.0000
0.0000 0.5000 0.0000
0.5000 0.5000 0.5000
0.0000 0.0000 0.0000
```

final energy = -3.0673 eV/atom

No. 8
A relaxed structure of TaTl2Si, computed with GGA-PBEsol.

```
TaTl2Si
1.0
-1.4626 2.9683 0.8549
-1.7288 -2.0300 4.0905
5.7094 0.8662 -0.0714
Ta Si Tl
1 1 2
direct
0.2191 0.7191 0.4383
0.5332 0.5332 0.0664
0.9852 0.9852 0.9704
0.7625 0.2625 0.5249
```

formation energy from raw total energies = 48.0 kJ/mol of atoms

Respective calculated density values: 8.88; 7.20; 5.24; 9.61; 4.28; 7.91; 3.60; 12.43 Mg/m³.